This record from the Alexandria database describes an optimized crystal structure of La2Pr7Sm2. The functional is PBE.

It has space group C2/m (No. 12), with a = 17.747 Å, b = 12.086 Å, c = 3.750 Å, α = 90.00°, β = 97.22° and γ = 90.00°. Symmetry generates all atoms from La at (0.205, 0.000, 0.168), Pr at (0.000, 0.000, 0.500), Pr at (0.099, 0.500, 0.255), Pr at (0.165, 0.251, 0.685) and Sm at (0.000, 0.252, 0.000).

The calculation puts the energy relative to the elements at 0.100 eV/atom. The energy above the most stable polymorph in this dataset is 0 meV/atom.